Entry 1:
{"formula": "Ag3OF", "functional": "GGA-PBE", "state": "relaxed", "de_polymorph_mev_per_atom": 8, "n_ef_per_ev_atom": 0.217, "spacegroup": "C2/m", "e_form_raw_ev_per_atom": -0.38, "cell": [[5.567, -2.286, 0.000], [5.567, 2.286, 0.000], [-3.300, 0.000, 6.174]], "species": ["Ag", "Ag", "Ag", "Ag", "Ag", "Ag", "O", "O", "F", "F"], "frac_coords": [[0.060, 0.060, 0.344], [0.327, 0.327, 0.346], [0.340, 0.340, 0.865], [0.660, 0.660, 0.135], [0.673, 0.673, 0.654], [0.940, 0.940, 0.656], [0.463, 0.463, 0.698], [0.537, 0.537, 0.302], [0.175, 0.175, 0.978], [0.825, 0.825, 0.022]]}

Entry 2:
{"formula": "BeAgAu2", "functional": "GGA-PBE", "state": "relaxed", "dft_energy_ev_per_cell": -13.1, "n_ef_per_ev_atom": 0.197, "spacegroup": "P2/m", "cell": [[3.322, 0.000, 0.000], [0.000, 3.632, 0.000], [-1.525, 0.000, 5.378]], "species": ["Be", "Ag", "Au", "Au"], "frac_coords": [[0.000, 0.000, 0.000], [0.000, 0.000, 0.500], [0.367, 0.500, 0.222], [0.633, 0.500, 0.778]]}

Entry 3:
{"formula": "NaNp2PaTe4", "functional": "GGA-PBE", "state": "relaxed", "n_ef_per_ev_atom": 3.329, "spacegroup": "P2/m", "e_form_raw_ev_per_atom": -0.67, "cell": [[7.524, 0.000, 0.000], [0.000, 4.319, 0.000], [-2.498, 0.000, 7.450]], "species": ["Na", "Np", "Np", "Pa", "Te", "Te", "Te", "Te"], "frac_coords": [[0.000, 0.000, 0.000], [0.500, 0.000, 0.500], [0.500, 0.500, 0.000], [0.000, 0.500, 0.500], [0.248, 0.500, 0.252], [0.249, 0.000, 0.751], [0.751, 0.000, 0.249], [0.752, 0.500, 0.748]]}

Let's list V in order: 15.72; 16.22; 30.26 A^3/atom.